! PBE MgCoSn4, optimized geometry; values from VASP
! Volume: 288 Å³ per cell
! ΔE_f: -19 meV per atom
! Symmetry: C2/c (15)
! VASP energy: -4.1374 eV per atom
&SYSTEM
  ibrav = 0, nat = 12, ntyp = 3
/
ATOMIC_SPECIES
Mg 24.30 Mg.upf
Co 58.93 Co.upf
Sn 118.71 Sn.upf
CELL_PARAMETERS angstrom
4.4975 -6.3495 0.0000
4.4975 6.3495 0.0000
-2.4913 0.0000 5.0512
ATOMIC_POSITIONS angstrom
Mg 2.6290 4.6877 3.7884
Mg 3.8747 -4.6877 1.2628
Co 2.6290 0.0419 3.7884
Co 3.8747 -0.0419 1.2628
Sn 0.0353 0.8468 4.1701
Sn 2.4365 2.1064 2.0881
Sn 1.2809 -0.8468 1.6445
Sn 5.3129 2.1064 0.4375
Sn 1.1908 -2.1064 4.6137
Sn 5.2228 0.8468 3.4067
Sn 4.0672 -2.1064 2.9632
Sn 6.4684 -0.8468 0.8811